No. 1
A geometry-optimized TaNi2Sb structure. Source: Alexandria, functional PBE.

```
TaNi2Sb
1.0
-2.040 2.040 3.638
2.040 -2.040 3.638
2.040 2.040 -3.638
Ta Ni Sb
1 2 1
Cartesian
0.000 0.000 0.000
2.040 0.000 1.819
0.000 2.040 1.819
0.000 0.000 3.638
```

Computed properties:
The value obtained for the spin magnetization is 0.00 μB/f.u. The value obtained for the total DFT energy (no corrections) is -27.51 eV per formula unit. Its theoretical density is 11.52 g/cm³. As for the space group: I4/mmm (139).

=====

No. 2
A geometry-optimized Ta2NiSb structure. Source: Alexandria, functional PBE.

```
Ta2NiSb
1.0
-1.881 2.061 4.360
1.881 -2.061 4.360
1.881 2.061 -4.360
Ta Ni Sb
2 1 1
Cartesian
0.000 0.000 2.160
0.000 0.000 6.559
1.881 0.000 0.000
0.000 2.061 0.000
```

Computed properties:
The value obtained for the spin magnetization is 0.00 μB/f.u. The value obtained for the total DFT energy (no corrections) is -33.83 eV per formula unit. Its theoretical density is 13.32 g/cm³. As for the space group: Immm (71).

=====

No. 3
A geometry-optimized TaNi2Sb structure. Source: Alexandria, functional PBE.

```
TaNi2Sb
1.0
2.973 0.000 0.000
0.000 3.489 0.000
0.000 0.000 5.975
Ta Ni Sb
1 2 1
Cartesian
0.000 0.000 0.000
0.000 0.000 2.577
1.486 1.745 1.325
1.486 1.745 3.980
```

Computed properties:
The value obtained for the spin magnetization is 0.00 μB/f.u. The value obtained for the total DFT energy (no corrections) is -27.45 eV per formula unit. Its theoretical density is 11.26 g/cm³. As for the space group: Pmm2 (25).

=====

No. 4
A geometry-optimized TaNi2SbTe structure. Source: Alexandria, functional PBE.

```
TaNi2SbTe
1.0
4.611 0.000 0.000
0.000 4.611 0.000
0.000 0.000 5.282
Ta Ni Sb Te
1 2 1 1
Cartesian
0.000 0.000 0.000
0.000 2.305 2.641
2.305 0.000 2.641
0.000 0.000 2.641
2.305 2.305 0.000
```

Computed properties:
The value obtained for the spin magnetization is 0.35 μB/f.u. The value obtained for the total DFT energy (no corrections) is -25.76 eV per formula unit. Its theoretical density is 8.10 g/cm³. As for the space group: P4/mmm (123).

=====

No. 5
A geometry-optimized Ta2VNiSb structure. Source: Alexandria, functional PBE.

```
Ta2VNiSb
1.0
4.644 0.000 0.000
0.000 4.644 0.000
0.000 0.000 4.492
Ta V Ni Sb
2 1 1 1
Cartesian
0.000 2.322 0.000
2.322 0.000 0.000
0.000 0.000 2.246
2.322 2.322 0.000
2.322 2.322 2.246
```

Computed properties:
The value obtained for the spin magnetization is 0.00 μB/f.u. The value obtained for the total DFT energy (no corrections) is -37.83 eV per formula unit. Its theoretical density is 10.17 g/cm³. As for the space group: P4/mmm (123).

=====

No. 6
A geometry-optimized Tb5Ni2Sb structure. Source: Alexandria, functional PBE.

```
Tb5Ni2Sb
1.0
-3.848 3.848 6.669
3.848 -3.848 6.669
3.848 3.848 -6.669
Tb Ni Sb
10 4 2
Cartesian
0.000 0.000 0.000
5.058 1.210 -1.826
1.210 2.638 -1.826
5.058 1.210 1.826
1.210 2.638 1.826
0.000 0.000 6.669
2.638 1.210 4.843
-1.210 2.638 4.843
2.638 1.210 8.494
-1.210 2.638 8.494
2.848 1.000 0.000
2.848 -1.000 6.669
1.000 4.848 0.000
1.000 2.848 6.669
0.000 0.000 3.334
0.000 0.000 10.003
```

Computed properties:
The value obtained for the spin magnetization is 0.00 μB/f.u. The value obtained for the total DFT energy (no corrections) is -43.06 eV per formula unit. Its theoretical density is 8.69 g/cm³. As for the space group: I4/mcm (140).

=====

no.,formation energy without anion corrections (eV per atom)
1,0.007
2,-0.055
3,0.022
4,0.983
5,0.979
6,-0.528